Material: Nd4AuN
Method: DFT, GGA-PBE
State: optimized geometry

```
Nd4AuN
1.0
5.205 0.000 0.000
0.000 9.459 0.000
0.000 0.000 7.037
Nd Au N
8 2 2
Direct
0.250 0.047 0.201
0.250 0.250 0.716
0.250 0.453 0.201
0.250 0.750 0.611
0.750 0.250 0.389
0.750 0.547 0.799
0.750 0.750 0.284
0.750 0.953 0.799
0.250 0.750 0.034
0.750 0.250 0.966
0.250 0.250 0.387
0.750 0.750 0.613
```

Values from the calculation:
For the formation energy (no corrections), the calculation gives -0.62 eV/atom. The value obtained for the calculated total energy is -68.7 eV/cell. Its density is 7.55 g/cm³.

Material: V6Cr5P
Method: DFT, GGA-PBE
State: optimized geometry

```
V6Cr5P
1.0
-2.060 2.916 6.156
2.060 -2.916 6.156
2.060 2.916 -6.156
V Cr P
6 5 1
Direct
0.080 0.332 0.748
0.242 0.000 0.242
0.416 0.668 0.748
0.584 0.332 0.252
0.758 0.000 0.758
0.920 0.668 0.252
0.000 0.500 0.500
0.169 0.169 0.000
0.339 0.839 0.500
0.661 0.161 0.500
0.831 0.831 0.000
0.500 0.500 0.000
```

Values from the calculation:
The value obtained for the calculated total energy is -110.6 eV/cell. The formation energy is -0.198 eV/atom. Its density is 6.70 g/cm³.

Material: TbDyPb2
Method: DFT, GGA-PBE
State: optimized geometry

```
TbDyPb2
1.0
3.555 0.000 0.000
0.000 3.555 0.000
0.000 0.000 8.942
Tb Dy Pb
1 1 2
Direct
0.000 0.000 0.000
0.000 0.000 0.500
0.500 0.500 0.251
0.500 0.500 0.749
```

Values from the calculation:
The value obtained for the calculated total energy is -18.4 eV/cell. The formation energy is -0.442 eV/atom. Its density is 10.81 g/cm³.

Material: CsK2As
Method: DFT, GGA-PBE
State: optimized geometry

```
CsK2As
1.0
5.528 0.000 0.000
0.000 5.528 0.000
0.000 0.000 5.309
Cs K As
1 2 1
Direct
0.000 0.000 0.000
0.000 0.500 0.500
0.500 0.000 0.500
0.500 0.500 0.000
```

Values from the calculation:
The value obtained for the calculated total energy is -8.0 eV/cell. The formation energy is -0.083 eV/atom. Its density is 2.93 g/cm³.